[1]
Density functional theory data (PBE-GGA) for crystalline LaCe2Sn9 at its relaxed geometry.

Summary:
Crystal system: tetragonal
DFT formation energy in meV per atom: -549
Space-group type: No. 123

Lattice parameters (Å, degrees): 4.745 4.745 14.256 90.00 90.00 90.00
Last column: magnetic moment on the atom in μB.
Atoms (fractional coordinates):
Ce: 0.000 0.000 0.663  0.30
Ce: 0.000 0.000 0.337  0.30
Sn: 0.000 0.500 0.829  0.00
Sn: 0.000 0.500 0.500  0.00
Sn: 0.500 0.500 0.665  0.00
Sn: 0.500 0.000 0.171  0.00
Sn: 0.500 0.000 0.829  0.00
Sn: 0.500 0.500 0.000  0.00
Sn: 0.500 0.500 0.335  0.00
Sn: 0.000 0.500 0.171  0.00
Sn: 0.500 0.000 0.500  0.00
La: 0.000 0.000 0.000  0.00

=====

[2]
Density functional theory data (PBE-GGA) for crystalline La4Ir2Br3 at its relaxed geometry.

Summary:
Crystal system: monoclinic
Space-group type: No. 12
Uncorrected formation energy in eV per atom: -1.34

Lattice parameters (Å, degrees): 4.203 4.203 18.752 90.07 89.93 120.00
Atoms (fractional coordinates):
Br: 0.000 0.000 0.000
Br: 0.335 0.665 0.596
Br: 0.665 0.335 0.404
La: 0.999 0.001 0.300
La: 0.334 0.666 0.871
La: 0.001 0.999 0.700
La: 0.666 0.334 0.129
Ir: 0.668 0.332 0.791
Ir: 0.332 0.668 0.209

=====

[3]
Density functional theory data (PBE-GGA) for crystalline LiMnSbIr at its relaxed geometry.

Summary:
Crystal system: cubic
Space-group type: No. 216
Uncorrected formation energy in eV per atom: -0.29

Lattice parameters (Å, degrees): 4.452 4.452 4.452 60.00 60.00 60.00
Last column: magnetic moment on the atom in μB.
Atoms (fractional coordinates):
Sb: 0.750 0.750 0.750  -0.03
Li: 0.500 0.500 0.500  0.01
Ir: 0.000 0.000 0.000  0.15
Mn: 0.250 0.250 0.250  3.68

=====

Number 1: density of states at the Fermi level 1.0597 states/eV/atom, total magnetization 0.73 μB per formula unit. Number 2: density of states at the Fermi level 0.5644 states/eV/atom, total magnetization 0.00 μB per formula unit. Number 3: density of states at the Fermi level 0.2545 states/eV/atom, total magnetization 4.00 μB per formula unit.